(1)
Entry from OQMD: crystalline TaWSe4 at its relaxed geometry (PBE).

Output
Electronic total energy in eV per formula unit: -42.8
Calculated volume in Å³ per atom: 34.746
Magnetization in Bohr magnetons per cell: 0.40

Cell lengths 20.9033, 3.3937, 5.8777 Å; angles 90.00, 90.00, 90.00 degrees
Closest atoms and distances in Å follow each position.
Space group Amm2 (No. 38)
Unique sites:
Ta  0.0000  0.0000  0.0000 x2  6 Se 2.59
W  0.5000  0.0000  0.5001 x2  6 Se 2.56
Se  0.0814  0.0000  0.3333 x4  3 Ta 2.59
Se  0.4210  0.0000  0.8334 x4  3 W 2.56

***

(2)
Entry from OQMD: crystalline TaWSe4 at its relaxed geometry (PBE).

Output
Electronic total energy in eV per formula unit: -42.8
Calculated volume in Å³ per atom: 38.803
Magnetization in Bohr magnetons per cell: 0.01

Cell lengths 3.3887, 23.3150, 5.8936 Å; angles 90.00, 90.00, 90.00 degrees
Closest atoms and distances in Å follow each position.
Space group Cmm2 (No. 35)
Unique sites:
Ta  0.0000  0.0000  0.0000 x2  6 Se 2.58-2.62
W  0.0000  0.5000  0.5135 x2  6 Se 2.56
Se  0.0000  0.0707  0.3446 x4  2 W 2.56, 1 Ta 2.62
Se  0.0000  0.4272  0.8390 x4  1 W 2.56, 2 Ta 2.58

***

(3)
Entry from OQMD: crystalline YTa3Se at its relaxed geometry (PBE).

Output
Electronic total energy in eV per formula unit: -42.8
Calculated volume in Å³ per atom: 22.304
Magnetization in Bohr magnetons per cell: 0.00

Cell lengths 4.8134, 4.8134, 4.8134 Å; angles 90.00, 90.00, 90.00 degrees
Closest atoms and distances in Å follow each position.
Space group Pm-3m (No. 221)
Unique sites:
Y  0.0000  0.0000  0.0000 x1  12 Ta 3.40
Ta  0.0000  0.5000  0.5000 x3  2 Se 2.41
Se  0.5000  0.5000  0.5000 x1  6 Ta 2.41

***

(4)
Entry from OQMD: crystalline Tb4Se7 at its relaxed geometry (PBE).

Output
Electronic total energy in eV per formula unit: -60.1
Calculated volume in Å³ per atom: 27.093
Magnetization in Bohr magnetons per cell: 0.02

Cell lengths 10.5581, 4.1882, 13.4792 Å; angles 90.00, 90.00, 90.00 degrees
Closest atoms and distances in Å follow each position.
Space group Amm2 (No. 38)
Unique sites:
Tb  0.0000  0.0000  0.0000 x2  6 Se 2.82-2.90
Tb  0.2445  0.0000  0.2823 x4  4 Se 2.78-2.87
Tb  0.5000  0.0000  0.9987 x2  8 Se 2.83-3.10
Se  0.0000  0.0000  0.3584 x2  4 Tb 2.78-2.83
Se  0.0000  0.0000  0.6484 x2  2 Tb 2.90
Se  0.2492  0.0000  0.9247 x4  4 Tb 2.82-2.84
Se  0.3827  0.0000  0.6416 x4  1 Se 2.48
Se  0.5000  0.0000  0.3546 x2  4 Tb 2.86-2.87

***

(5)
Entry from OQMD: crystalline TbSe at its relaxed geometry (PBE).

Output
Electronic total energy in eV per formula unit: -10.8
Calculated volume in Å³ per atom: 32.850
Magnetization in Bohr magnetons per cell: 0.02

Cell lengths 6.4053, 6.4053, 6.4053 Å; angles 90.00, 90.00, 90.00 degrees
Closest atoms and distances in Å follow each position.
Space group F-43m (No. 216)
Unique sites:
Tb  0.0000  0.0000  0.0000 x4  4 Se 2.77
Se  0.2500  0.2500  0.2500 x4  4 Tb 2.77

***

(6)
Entry from OQMD: crystalline TbSe2 at its relaxed geometry (PBE).

Output
Electronic total energy in eV per formula unit: -12.1
Calculated volume in Å³ per atom: 23.448
Magnetization in Bohr magnetons per cell: 1.83

Cell lengths 8.2560, 8.2560, 8.2560 Å; angles 90.00, 90.00, 90.00 degrees
Closest atoms and distances in Å follow each position.
Space group Fd-3m (No. 227, origin choice 2)
Unique sites:
Tb  0.1250  0.1250  0.1250 x8  12 Se 3.42, 4 Tb 3.57
Se  0.0000  0.0000  0.5000 x16  6 Se 2.92

***

(7)
Entry from OQMD: crystalline Tb2Se3 at its relaxed geometry (PBE).

Output
Electronic total energy in eV per formula unit: -29.1
Calculated volume in Å³ per atom: 24.767
Magnetization in Bohr magnetons per cell: 0.00

Cell lengths 11.1874, 4.0384, 10.9642 Å; angles 90.00, 90.00, 90.00 degrees
Closest atoms and distances in Å follow each position.
Space group Pnma (No. 62)
Unique sites:
Tb  0.0128  0.2500  0.1874 x4  7 Se 2.89-2.97
Tb  0.1940  0.2500  0.5015 x4  7 Se 2.97-2.99
Se  0.0444  0.7500  0.3749 x4  5 Tb 2.90-2.99
Se  0.1194  0.2500  0.9440 x4  5 Tb 2.89-2.97
Se  0.2269  0.7500  0.6971 x4  4 Tb 2.91-2.97, 1 Se 3.26

***

(8)
Entry from OQMD: crystalline Tb2Se at its relaxed geometry (PBE).

Output
Electronic total energy in eV per formula unit: -11.3
Calculated volume in Å³ per atom: 82.556
Magnetization in Bohr magnetons per cell: 31.61

Cell lengths 12.5599, 12.5599, 12.5599 Å; angles 90.00, 90.00, 90.00 degrees
Closest atoms and distances in Å follow each position.
Space group Fd-3m (No. 227, origin choice 2)
Unique sites:
Tb  0.0000  0.0000  0.0000 x16  2 Se 2.72
Se  0.1250  0.1250  0.1250 x8  4 Tb 2.72

***

(9)
Entry from OQMD: crystalline TbSe2 at its relaxed geometry (PBE).

Output
Electronic total energy in eV per formula unit: -15.6
Calculated volume in Å³ per atom: 26.934
Magnetization in Bohr magnetons per cell: 0.01

Cell lengths 6.8627, 6.8627, 6.8627 Å; angles 90.00, 90.00, 90.00 degrees
Closest atoms and distances in Å follow each position.
Space group Fm-3m (No. 225)
Unique sites:
Tb  0.0000  0.0000  0.0000 x4  8 Se 2.97
Se  0.2500  0.2500  0.2500 x8  4 Tb 2.97

***

(10)
Entry from OQMD: crystalline Tb2Se3 at its relaxed geometry (PBE).

Output
Electronic total energy in eV per formula unit: -29.2
Calculated volume in Å³ per atom: 29.462
Magnetization in Bohr magnetons per cell: 0.01

Cell lengths 8.2797, 11.5691, 24.6056 Å; angles 90.00, 90.00, 90.00 degrees
Closest atoms and distances in Å follow each position.
Space group Fddd (No. 70, origin choice 2)
Unique sites:
Tb  0.1250  0.1250  0.0408 x16  6 Se 2.87-2.89
Tb  0.1250  0.1250  0.3783 x16  6 Se 2.87-2.89
Se  0.1162  0.3726  0.2059 x32  4 Tb 2.87-2.89
Se  0.1165  0.3750  0.3750 x16  4 Tb 2.88-2.89

***

(11)
Entry from OQMD: crystalline Tb2Se at its relaxed geometry (PBE).

Output
Electronic total energy in eV per formula unit: -15.0
Calculated volume in Å³ per atom: 26.582
Magnetization in Bohr magnetons per cell: 2.76

Cell lengths 6.8327, 6.8327, 6.8327 Å; angles 90.00, 90.00, 90.00 degrees
Closest atoms and distances in Å follow each position.
Space group Fm-3m (No. 225)
Unique sites:
Tb  0.2500  0.2500  0.2500 x8  4 Se 2.96
Se  0.0000  0.0000  0.0000 x4  8 Tb 2.96

***

(12)
Entry from OQMD: crystalline TbSe2 at its relaxed geometry (PBE).

Output
Electronic total energy in eV per formula unit: -15.4
Calculated volume in Å³ per atom: 41.969
Magnetization in Bohr magnetons per cell: 0.02

Cell lengths 4.1995, 4.1997, 16.5620 Å; angles 84.66, 88.45, 60.00 degrees
Closest atoms and distances in Å follow each position.
Space group P-1 (No. 2)
Unique sites:
Tb  0.0167  0.4283  0.1715 x2  6 Se 2.83-2.88
Se  0.3264  0.8657  0.9224 x2  3 Tb 2.88
Se  0.3587  0.7248  0.2598 x2  3 Tb 2.83